Density functional theory data (GGA-PBE) for ReAuSe2 after structural relaxation.

```
ReAuSe2
1.0
-1.506 2.068 6.371
1.506 -2.068 6.371
1.506 2.068 -6.371
Re Au Se
1 1 2
Direct
0.000 0.000 0.000
0.792 0.292 0.500
0.153 0.653 0.500
0.444 0.444 0.000
```

Energy, eV per formula unit: -21.2